This record from OQMD via LeMat-Bulk describes an optimized crystal structure of TbTmSi2Pd. The functional is PBE-GGA.

Summary:
The total energy is -5.952 eV per atom.

abc: 5.638 5.638 10.039
angles: 115.55 115.55 44.15
Positions (direct):
Si 0.632 0.632 0.065
Si 0.368 0.368 0.935
Si 0.482 0.482 0.616
Si 0.518 0.518 0.384
Pd 0.274 0.274 0.138
Pd 0.726 0.726 0.862
Tm 0.003 0.003 0.825
Tm 0.997 0.997 0.175
Tb 0.187 0.187 0.607
Tb 0.813 0.813 0.393